Entry 1:
First-principles (GGA-PBE) data for crystalline Tl2InSn4 at its relaxed geometry, as listed in Alexandria via LeMat-Bulk.

Cell and atoms, written as POSCAR:
```
Tl2InSn4
1.0
-2.6644 -2.1616 0.0915
0.5885 -0.9176 -4.5417
7.5894 -9.1336 5.2282
Tl Sn In
2 4 1
Direct
0.5000 0.2040 0.4080
0.5000 0.7960 0.5920
0.5000 0.0671 0.1342
0.0000 0.3679 0.7358
0.5000 0.9329 0.8658
0.0000 0.6321 0.2642
0.0000 0.5000 0.0000
```

D(E_F)   0.53 states/eV per atom
E   -23.1 eV for the cell shown
Theoretical density   8.1 g cm⁻³
Formation enthalpy at 0 K   0.049 eV per atom
Space-group type   Cmmm, No. 65
Total magnetic moment   0.0 μB per formula unit

***

Entry 2:
First-principles (GGA-PBE) data for crystalline Tl8InSn5 at its relaxed geometry, as listed in Alexandria via LeMat-Bulk.

Cell and atoms, written as POSCAR:
```
Tl8InSn5
1.0
-7.1651 0.8647 -4.0256
6.1768 0.9910 -5.3996
0.6686 -7.5023 3.3999
Tl In Sn
8 1 5
Direct
0.1364 0.6767 0.0519
0.9481 0.0845 0.6248
0.7478 0.2847 0.3649
0.6351 0.3828 0.9198
0.5370 0.6172 0.2522
0.5403 0.9155 0.8636
0.3752 0.3233 0.4597
0.0802 0.7153 0.4630
0.2500 0.5000 0.7500
0.0052 0.2683 0.0876
0.9124 0.9176 0.1807
0.8193 0.7317 0.7369
0.5000 0.0000 0.5000
0.2631 0.0824 0.9948
```

D(E_F)   0.41 states/eV per atom
E   -40.4 eV for the cell shown
Theoretical density   9.0 g cm⁻³
Formation enthalpy at 0 K   0.090 eV per atom
Space-group type   I-4, No. 82
Total magnetic moment   0.0 μB per formula unit

***

Entry 3:
First-principles (GGA-PBE) data for crystalline TlIn14Sn at its relaxed geometry, as listed in Alexandria via LeMat-Bulk.

Cell and atoms, written as POSCAR:
```
TlIn14Sn
1.0
-6.3238 -0.7391 2.2747
3.1210 -5.1928 -3.0009
3.9195 -3.3183 9.8182
Tl In Sn
1 14 1
Direct
0.0426 0.9574 0.5000
0.2089 0.7911 0.0000
0.7084 0.2916 0.0000
0.0393 0.4548 0.5000
0.2091 0.2946 0.0000
0.5452 0.9607 0.5000
0.7054 0.7909 0.0000
0.3765 0.1262 0.7537
0.3765 0.1262 0.2463
0.8738 0.6235 0.7537
0.8738 0.6235 0.2463
0.3733 0.6267 0.7468
0.3733 0.6267 0.2532
0.8749 0.1251 0.7554
0.8749 0.1251 0.2446
0.5441 0.4559 0.5000
```

D(E_F)   0.36 states/eV per atom
E   -44.4 eV for the cell shown
Theoretical density   7.3 g cm⁻³
Formation enthalpy at 0 K   0.018 eV per atom
Space-group type   Amm2, No. 38
Total magnetic moment   0.0 μB per formula unit

***

Entry 4:
First-principles (GGA-PBE) data for crystalline Tl3InSn6 at its relaxed geometry, as listed in Alexandria via LeMat-Bulk.

Cell and atoms, written as POSCAR:
```
Tl3InSn6
1.0
6.3092 0.0000 0.0000
-3.1546 5.4640 0.0000
0.0000 0.0000 8.8916
Tl In Sn
3 1 6
Direct
0.0000 0.0000 0.5000
0.6667 0.3333 0.5000
0.3333 0.6667 0.5000
0.0000 0.0000 0.0000
0.5243 0.5243 0.8261
0.0000 0.4757 0.8261
0.4757 0.0000 0.8261
0.0000 0.5243 0.1739
0.4757 0.4757 0.1739
0.5243 0.0000 0.1739
```

D(E_F)   0.47 states/eV per atom
E   -33.2 eV for the cell shown
Theoretical density   7.8 g cm⁻³
Formation enthalpy at 0 K   0.065 eV per atom
Space-group type   P-31m, No. 162
Total magnetic moment   0.0 μB per formula unit

***

Entry 5:
First-principles (GGA-PBE) data for crystalline TlIn6Sn2 at its relaxed geometry, as listed in Alexandria via LeMat-Bulk.

Cell and atoms, written as POSCAR:
```
TlIn6Sn2
1.0
5.1867 0.0000 -0.0004
0.0000 9.8254 0.0000
0.0008 0.0000 9.8263
Tl In Sn
2 12 4
Direct
0.5000 0.5000 0.0000
0.0000 0.0000 0.5000
0.0000 0.0039 0.1637
0.9999 0.6636 0.5040
0.9999 0.6652 0.8349
0.5001 0.1652 0.6651
0.5001 0.1636 0.9960
0.5000 0.5039 0.3363
0.0000 0.9961 0.8363
0.0001 0.3364 0.4960
0.0001 0.3348 0.1651
0.4999 0.8348 0.3349
0.4999 0.8364 0.0040
0.5000 0.4961 0.6637
0.0001 0.3265 0.8264
0.4999 0.8265 0.6736
0.5001 0.1735 0.3264
0.9999 0.6735 0.1736
```

D(E_F)   0.38 states/eV per atom
E   -53.3 eV for the cell shown
Theoretical density   7.5 g cm⁻³
Formation enthalpy at 0 K   0.019 eV per atom
Space-group type   P4_2/mnm, No. 136
Total magnetic moment   0.0 μB per formula unit

***

Entry 6:
First-principles (GGA-PBE) data for crystalline Tl2In3Sn4 at its relaxed geometry, as listed in Alexandria via LeMat-Bulk.

Cell and atoms, written as POSCAR:
```
Tl2In3Sn4
1.0
-0.5313 -2.6909 2.0988
4.1264 1.3109 5.5670
-5.9332 5.4676 8.3501
Tl In Sn
2 3 4
Direct
0.3254 0.1179 0.2313
0.6746 0.8821 0.7687
0.3459 0.7737 0.5345
0.0000 0.0000 0.0000
0.6541 0.2263 0.4655
0.6605 0.5796 0.0994
0.9827 0.3589 0.6758
0.0173 0.6411 0.3242
0.3395 0.4204 0.9006
```

D(E_F)   0.41 states/eV per atom
E   -28.7 eV for the cell shown
Theoretical density   8.0 g cm⁻³
Formation enthalpy at 0 K   0.032 eV per atom
Space-group type   C2/m, No. 12
Total magnetic moment   0.0 μB per formula unit

***

Entry 7:
First-principles (GGA-PBE) data for crystalline Tl17InSn11 at its relaxed geometry, as listed in Alexandria via LeMat-Bulk.

Cell and atoms, written as POSCAR:
```
Tl17InSn11
1.0
-7.0468 -4.7356 -6.1624
8.1811 -6.3728 1.5861
-4.4236 2.3411 9.1883
Tl In Sn
17 1 11
Direct
0.0010 0.0010 0.3590
0.6854 0.6854 0.2845
0.6443 0.6443 0.6429
0.3997 0.3997 0.7151
0.0001 0.0001 0.9998
0.3150 0.6012 0.9988
0.3980 0.7128 0.3984
0.9983 0.3150 0.5998
0.0000 0.3557 0.0003
0.2843 0.6843 0.6854
0.5995 0.9993 0.3161
0.9993 0.5995 0.3161
0.6843 0.2843 0.6854
0.3557 0.0000 0.0003
0.3150 0.9983 0.5998
0.7128 0.3980 0.3984
0.6012 0.3150 0.9988
0.3682 0.3682 0.1796
0.1855 0.1855 0.8195
0.6387 0.8168 0.0006
0.1785 0.3622 0.3636
0.8147 0.9990 0.6357
0.6362 0.9997 0.8139
0.8209 0.1857 0.1873
0.1857 0.8209 0.1873
0.9997 0.6362 0.8139
0.9990 0.8147 0.6357
0.3622 0.1785 0.3636
0.8168 0.6387 0.0006
```

D(E_F)   0.54 states/eV per atom
E   -87.0 eV for the cell shown
Theoretical density   9.2 g cm⁻³
Formation enthalpy at 0 K   0.001 eV per atom
Space-group type   Cm, No. 8
Total magnetic moment   0.0 μB per formula unit

***

Entry 8:
First-principles (GGA-PBE) data for crystalline Tl2InSn4 at its relaxed geometry, as listed in Alexandria via LeMat-Bulk.

Cell and atoms, written as POSCAR:
```
Tl2InSn4
1.0
5.9378 0.0000 0.0000
0.0000 6.0058 0.0000
0.0000 -3.0029 6.3420
Tl In Sn
2 1 4
Direct
0.5000 0.1397 0.2794
0.5000 0.8603 0.7206
0.0000 0.5000 0.0000
0.5000 0.6149 0.2298
0.0000 0.8811 0.7621
0.5000 0.3851 0.7702
0.0000 0.1189 0.2379
```

D(E_F)   0.59 states/eV per atom
E   -21.8 eV for the cell shown
Theoretical density   7.3 g cm⁻³
Formation enthalpy at 0 K   0.241 eV per atom
Space-group type   Cmmm, No. 65
Total magnetic moment   0.0 μB per formula unit